PBE-GGA GaAsWBr2, optimized geometry; space group = P4/mmm (123); energy above the most stable polymorph in this dataset = 0.0000 eV per atom
1.0
5.3670 0.0000 0.0000
0.0000 5.3670 0.0000
0.0000 0.0000 4.8709
As Ga Br W
1 1 2 1
direct
0.0000 0.0000 0.5000 As
0.5000 0.5000 0.5000 Ga
0.0000 0.5000 0.0000 Br
0.5000 0.0000 0.0000 Br
0.0000 0.0000 0.0000 W

=====

PBE-GGA Dy6YEr, optimized geometry; space group = P-1 (2); energy above the most stable polymorph in this dataset = 0.0000 eV per atom; formation energy = 17.6 meV/atom
1.0
-3.4873 5.0195 -0.5491
-4.0772 1.7059 -4.2526
-8.9398 1.9808 6.4316
Dy Y Er
6 1 1
direct
0.8738 0.6256 0.8759 Dy
0.7494 0.2515 0.7510 Dy
0.3762 0.1242 0.3741 Dy
0.2506 0.7485 0.2490 Dy
0.1262 0.3744 0.1241 Dy
0.6238 0.8758 0.6259 Dy
0.5000 0.5000 0.5000 Y
0.0000 0.0000 0.0000 Er

=====

PBE-GGA ScGaFeOs2, optimized geometry; space group = P4/mmm (123); formation energy = 654.2 meV/atom
1.0
4.4911 0.0000 0.0000
0.0000 4.3430 0.0000
0.0000 0.0000 4.4911
Sc Os Fe Ga
1 2 1 1
direct
0.5000 0.5000 0.5000 Sc
0.0000 0.0000 0.5000 Os
0.5000 0.0000 0.0000 Os
0.0000 0.0000 0.0000 Fe
0.0000 0.5000 0.0000 Ga

=====

Number 1: DFT total energy -4.458 eV/atom. Number 2: DFT total energy -4.812 eV/atom. Number 3: DFT total energy -7.402 eV/atom.